{"formula": "Rb2ZnFe3F12", "functional": "PBE with a Hubbard U", "state": "optimized geometry", "lattice_angstrom": [[3.6826, 2.1261, 6.0710], [-3.6826, 2.1261, 6.0710], [0.0000, -4.2523, 6.0710]], "species": ["Rb", "Rb", "Zn", "Fe", "Fe", "Fe", "F", "F", "F", "F", "F", "F", "F", "F", "F", "F", "F", "F"], "frac_coords": [[0.1285, 0.1285, 0.1285], [0.8715, 0.8715, 0.8715], [0.5000, 0.5000, 0.5000], [0.0000, 0.5000, 0.5000], [0.5000, 0.0000, 0.5000], [0.5000, 0.5000, 0.0000], [0.1664, 0.5774, 0.5774], [0.1844, 0.1844, 0.5744], [0.1844, 0.5744, 0.1844], [0.4226, 0.4226, 0.8336], [0.4226, 0.8336, 0.4226], [0.4256, 0.8156, 0.8156], [0.5744, 0.1844, 0.1844], [0.5774, 0.1664, 0.5774], [0.5774, 0.5774, 0.1664], [0.8156, 0.4256, 0.8156], [0.8156, 0.8156, 0.4256], [0.8336, 0.4226, 0.4226]], "magnetic_moment_mub_per_fu": 9.9, "dft_energy_ev_per_atom": -4.753, "density_g_cm3": 3.68}